1.
A plane-wave DFT calculation with PBE was carried out for a relaxed ZnCr2Se crystal.

Calculated values
Total energy   -5.72 eV per atom
Energy above the lowest structure with this stoichiometry   0.146 eV/atom
ΔE_f (raw)   281.5 meV per atom

a = 5.366 Å, b = 3.458 Å, c = 3.472 Å
α = 90.01°, β = 90.09°, γ = 90.00°
Each line ends with the local moment (μB).
Element x y z (fractional)
1 Cr 0.404 0.375 0.376  3.22
2 Zn 0.577 0.875 0.876  0.03
3 Se 0.927 0.375 0.374  -0.09
4 Cr 0.092 0.875 0.875  2.96

2.
A plane-wave DFT calculation with PBE was carried out for a relaxed ZnCrSe2 crystal.

Calculated values
Total energy   -4.40 eV per atom
ΔE_f (raw)   66.9 meV per atom

a = 7.958 Å, b = 7.958 Å, c = 7.958 Å
α = 27.90°, β = 27.90°, γ = 27.90°
Each line ends with the local moment (μB).
Element x y z (fractional)
1 Cr 0.000 0.000 0.000  3.77
2 Zn 0.500 0.500 0.500  0.02
3 Se 0.896 0.896 0.896  -0.16
4 Se 0.104 0.104 0.104  -0.16

3.
A plane-wave DFT calculation with PBE was carried out for a relaxed ZnCr2Se crystal.

Calculated values
Total energy   -5.63 eV per atom
Energy above the lowest structure with this stoichiometry   0.240 eV/atom
ΔE_f (raw)   375.6 meV per atom

a = 4.614 Å, b = 4.614 Å, c = 4.614 Å
α = 128.09°, β = 128.09°, γ = 76.48°
Each line ends with the local moment (μB).
Element x y z (fractional)
1 Cr 0.000 0.000 0.000  2.60
2 Se 0.250 0.750 0.500  -0.09
3 Zn 0.750 0.250 0.500  -0.03
4 Cr 0.500 0.500 0.000  2.60

4.
A plane-wave DFT calculation with PBE was carried out for a relaxed ZnCr2Se crystal.

Calculated values
Total energy   -5.68 eV per atom
Energy above the lowest structure with this stoichiometry   0.189 eV/atom
ΔE_f (raw)   325.2 meV per atom

a = 4.280 Å, b = 4.280 Å, c = 5.284 Å
α = 76.57°, β = 76.57°, γ = 45.39°
Each line ends with the local moment (μB).
Element x y z (fractional)
1 Cr 0.508 0.508 0.496  3.22
2 Cr 0.992 0.992 0.004  3.22
3 Zn 0.750 0.750 0.750  -0.02
4 Se 0.250 0.250 0.250  -0.09